The following is a DFT calculation (PBE+U) of PaGaNi2O6 after structural relaxation.

a b c (Å): 5.617 5.617 4.480
angles (deg): 90.00 90.00 90.00
Element x y z (fractional)
Pa (0.000, 0.000, 0.000)
Ga (0.500, 0.500, 0.989)
Ni (0.000, 0.500, 0.290)
Ni (0.500, 0.000, 0.290)
O (0.000, 0.000, 0.542)
O (0.263, 0.263, 0.127)
O (0.263, 0.737, 0.127)
O (0.500, 0.500, 0.588)
O (0.737, 0.263, 0.127)
O (0.737, 0.737, 0.127)

As for the total energy: -6.360 eV/atom.